(1)
The following is a DFT calculation (PBE-GGA) of a geometry-optimized Mg2Ag8Hg structure.

Results
Space group: No. 12
Magnetization, Bohr magnetons per cell: 0.0
D(E_F), states/eV/f.u.: 2.45

a = 5.137 Å, b = 7.797 Å, c = 7.622 Å
α = 59.24°, β = 72.81°, γ = 54.71°
Sites, in units of the cell vectors:
Ag 0.500 0.217 0.565
Hg 0.500 0.000 0.000
Ag 0.682 0.584 0.000
Ag 0.318 0.416 0.000
Ag 0.500 0.783 0.435
Ag 0.122 0.668 0.236
Ag 0.878 0.096 0.236
Mg 0.000 0.308 0.383
Mg 0.000 0.692 0.617
Ag 0.122 0.904 0.764
Ag 0.878 0.332 0.764

(2)
The following is a DFT calculation (PBE-GGA) of a geometry-optimized Mg2Ag8Hg structure.

Results
Space group: No. 12
Magnetization, Bohr magnetons per cell: 0.0
D(E_F), states/eV/f.u.: 3.15

a = 4.285 Å, b = 6.759 Å, c = 7.689 Å
α = 107.93°, β = 106.18°, γ = 90.00°
Sites, in units of the cell vectors:
Ag 0.142 0.192 0.285
Ag 0.044 0.722 0.087
Ag 0.318 0.092 0.637
Hg 0.500 0.000 0.000
Ag 0.956 0.278 0.913
Ag 0.858 0.808 0.715
Ag 0.594 0.457 0.189
Ag 0.682 0.908 0.363
Ag 0.406 0.543 0.811
Mg 0.777 0.352 0.554
Mg 0.223 0.648 0.446

Most stable of them? (2).

(1)
The following is a DFT calculation (PBE-GGA) of a geometry-optimized MgAg5Hg structure.

Results
Space group: No. 15
Magnetization, Bohr magnetons per cell: 0.0
D(E_F), states/eV/f.u.: 2.04

a = 5.704 Å, b = 5.704 Å, c = 10.179 Å
α = 82.38°, β = 82.38°, γ = 57.42°
Sites, in units of the cell vectors:
Mg 0.744 0.256 0.750
Ag 0.767 0.759 0.693
Ag 0.233 0.241 0.307
Ag 0.642 0.650 0.461
Ag 0.350 0.358 0.039
Hg 0.000 0.000 0.000
Hg 0.000 0.000 0.500
Ag 0.739 0.261 0.250
Ag 0.261 0.739 0.750
Ag 0.358 0.350 0.539
Ag 0.241 0.233 0.807
Ag 0.759 0.767 0.193
Mg 0.256 0.744 0.250
Ag 0.650 0.642 0.961

(2)
The following is a DFT calculation (PBE-GGA) of a geometry-optimized MgAg5Hg structure.

Results
Space group: No. 123
Magnetization, Bohr magnetons per cell: 0.0
D(E_F), states/eV/f.u.: 3.38

a = 4.038 Å, b = 4.038 Å, c = 8.667 Å
α = 90.00°, β = 90.00°, γ = 90.00°
Sites, in units of the cell vectors:
Ag 0.500 0.000 0.251
Ag 0.500 0.500 0.500
Hg 0.500 0.500 0.000
Mg 0.000 0.000 0.500
Ag 0.500 0.000 0.749
Ag 0.000 0.500 0.251
Ag 0.000 0.500 0.749

Most stable of them? (2).

(1)
The following is a DFT calculation (PBE-GGA) of a geometry-optimized Mg4AgHg2 structure.

Results
Space group: No. 166
Magnetization, Bohr magnetons per cell: 0.0
D(E_F), states/eV/f.u.: 2.17

a = 4.760 Å, b = 4.760 Å, c = 8.230 Å
α = 73.19°, β = 73.19°, γ = 60.00°
Sites, in units of the cell vectors:
Hg 0.751 0.751 0.747
Mg 0.874 0.874 0.379
Ag 0.000 0.000 0.000
Mg 0.377 0.377 0.869
Mg 0.623 0.623 0.131
Hg 0.249 0.249 0.253
Mg 0.126 0.126 0.621

(2)
The following is a DFT calculation (PBE-GGA) of a geometry-optimized Mg4AgHg2 structure.

Results
Space group: No. 11
Magnetization, Bohr magnetons per cell: 0.0
D(E_F), states/eV/f.u.: 3.31

a = 7.304 Å, b = 6.298 Å, c = 7.497 Å
α = 90.00°, β = 116.98°, γ = 90.00°
Sites, in units of the cell vectors:
Ag 0.299 0.750 0.353
Hg 0.269 0.250 0.359
Mg 0.433 0.503 0.751
Hg 0.791 0.750 0.066
Mg 0.850 0.250 0.060
Mg 0.567 0.003 0.249
Hg 0.731 0.750 0.641
Mg 0.010 0.750 0.484
Hg 0.209 0.250 0.934
Mg 0.433 0.997 0.751
Ag 0.701 0.250 0.647
Mg 0.150 0.750 0.940
Mg 0.567 0.497 0.249
Mg 0.990 0.250 0.516

Most stable of them? (1).

(1)
The following is a DFT calculation (PBE-GGA) of a geometry-optimized Mg4Ag2Hg structure.

Results
Space group: No. 122
Magnetization, Bohr magnetons per cell: 0.0
D(E_F), states/eV/f.u.: 4.23

a = 7.282 Å, b = 7.282 Å, c = 7.282 Å
α = 109.41°, β = 109.59°, γ = 109.41°
Sites, in units of the cell vectors:
Mg 0.135 0.913 0.383
Mg 0.617 0.751 0.529
Hg 0.000 0.000 0.000
Mg 0.279 0.251 0.867
Ag 0.504 0.379 0.625
Ag 0.375 0.879 0.754
Ag 0.246 0.621 0.125
Mg 0.972 0.587 0.721
Mg 0.133 0.413 0.385
Mg 0.615 0.749 0.028
Mg 0.471 0.087 0.222
Ag 0.875 0.121 0.496
Hg 0.750 0.500 0.250
Mg 0.778 0.249 0.865

(2)
The following is a DFT calculation (PBE-GGA) of a geometry-optimized Mg4Ag2Hg structure.

Results
Space group: No. 166
Magnetization, Bohr magnetons per cell: 0.0
D(E_F), states/eV/f.u.: 1.50

a = 4.735 Å, b = 4.735 Å, c = 8.072 Å
α = 72.94°, β = 72.94°, γ = 60.00°
Sites, in units of the cell vectors:
Mg 0.618 0.618 0.147
Ag 0.749 0.749 0.754
Mg 0.870 0.870 0.390
Mg 0.382 0.382 0.853
Hg 0.000 0.000 0.000
Mg 0.130 0.130 0.610
Ag 0.251 0.251 0.246

Most stable of them? (2).

(1)
The following is a DFT calculation (PBE-GGA) of a geometry-optimized Mg4AgHg7 structure.

Results
Space group: No. 2
Magnetization, Bohr magnetons per cell: 0.0
D(E_F), states/eV/f.u.: 3.65

a = 6.649 Å, b = 11.477 Å, c = 8.850 Å
α = 46.10°, β = 51.81°, γ = 36.06°
Sites, in units of the cell vectors:
Ag 0.000 0.000 0.000
Hg 0.333 0.768 0.543
Mg 0.432 0.376 0.755
Mg 0.675 0.868 0.718
Hg 0.950 0.694 0.440
Hg 0.050 0.306 0.560
Mg 0.568 0.624 0.245
Hg 0.770 0.482 0.955
Mg 0.325 0.132 0.282
Hg 0.230 0.518 0.045
Hg 0.667 0.232 0.457
Hg 0.500 0.000 0.000

(2)
The following is a DFT calculation (PBE-GGA) of a geometry-optimized Mg4AgHg7 structure.

Results
Space group: No. 12
Magnetization, Bohr magnetons per cell: 0.0
D(E_F), states/eV/f.u.: 4.21

a = 5.359 Å, b = 9.028 Å, c = 6.850 Å
α = 77.22°, β = 66.97°, γ = 72.74°
Sites, in units of the cell vectors:
Hg 0.928 0.347 0.796
Ag 0.000 0.000 0.000
Mg 0.274 0.311 0.141
Hg 0.197 0.085 0.522
Mg 0.427 0.773 0.373
Hg 0.803 0.915 0.478
Hg 0.350 0.555 0.746
Hg 0.072 0.653 0.204
Hg 0.650 0.445 0.254
Hg 0.500 0.000 0.000
Mg 0.573 0.227 0.627
Mg 0.726 0.689 0.859

Most stable of them? (1).

(1)
The following is a DFT calculation (PBE-GGA) of a geometry-optimized Mg6AgHg12 structure.

Results
Space group: No. 148
Magnetization, Bohr magnetons per cell: 0.0
D(E_F), states/eV/f.u.: 5.14

a = 7.562 Å, b = 7.562 Å, c = 7.562 Å
α = 92.46°, β = 92.46°, γ = 92.46°
Sites, in units of the cell vectors:
Hg 0.633 0.982 0.860
Hg 0.982 0.860 0.633
Mg 0.283 0.121 0.734
Hg 0.459 0.555 0.200
Hg 0.018 0.140 0.367
Mg 0.266 0.717 0.879
Hg 0.555 0.200 0.459
Hg 0.860 0.633 0.982
Hg 0.200 0.459 0.555
Hg 0.541 0.445 0.800
Hg 0.140 0.367 0.018
Mg 0.734 0.283 0.121
Mg 0.717 0.879 0.266
Ag 0.000 0.000 0.000
Mg 0.121 0.734 0.283
Hg 0.800 0.541 0.445
Hg 0.367 0.018 0.140
Mg 0.879 0.266 0.717
Hg 0.445 0.800 0.541

(2)
The following is a DFT calculation (PBE-GGA) of a geometry-optimized Mg6AgHg12 structure.

Results
Space group: No. 148
Magnetization, Bohr magnetons per cell: 0.0
D(E_F), states/eV/f.u.: 5.55

a = 8.175 Å, b = 8.175 Å, c = 8.175 Å
α = 108.75°, β = 108.75°, γ = 108.75°
Sites, in units of the cell vectors:
Hg 0.540 0.677 0.813
Mg 0.898 0.609 0.385
Hg 0.677 0.813 0.540
Mg 0.102 0.391 0.615
Hg 0.838 0.913 0.269
Mg 0.615 0.102 0.391
Mg 0.609 0.385 0.898
Hg 0.813 0.540 0.677
Hg 0.460 0.323 0.187
Mg 0.385 0.898 0.609
Hg 0.913 0.269 0.838
Hg 0.731 0.162 0.087
Hg 0.269 0.838 0.913
Hg 0.187 0.460 0.323
Hg 0.162 0.087 0.731
Ag 0.000 0.000 0.000
Hg 0.323 0.187 0.460
Hg 0.087 0.731 0.162
Mg 0.391 0.615 0.102

Most stable of them? (1).